This record from Alexandria via LeMat-Bulk describes crystalline TlHg2BrO at its relaxed geometry. The functional is PBE.

The structure belongs to space group P4/mmm (No. 123); the cell edges are 5.973, 5.973 and 4.179 Å and the angles 90.00°, 90.00° and 90.00°. The distinct sites, in fractional coordinates, are Tl at (0.000, 0.000, 0.000), Hg at (0.000, 0.500, 0.000), Br at (0.500, 0.500, 0.500) and O at (0.000, 0.000, 0.500).



This record from Alexandria via LeMat-Bulk describes crystalline TlHgBrO2 at its relaxed geometry. The functional is PBE.

The structure belongs to space group P2_1/m (No. 11); the cell edges are 6.836, 4.143 and 8.510 Å and the angles 90.00°, 92.60° and 90.00°. The distinct sites, in fractional coordinates, are Tl at (0.057, 0.250, 0.350), Hg at (0.196, 0.250, 0.925), Br at (0.415, 0.250, 0.222), O at (0.062, 0.250, 0.615) and O at (0.103, 0.750, 0.888).



This record from Alexandria via LeMat-Bulk describes crystalline UHgBrO4 at its relaxed geometry. The functional is PBE.

The structure belongs to space group C2/m (No. 12); the cell edges are 11.663, 8.735 and 7.365 Å and the angles 90.00°, 115.66° and 90.00°. The distinct sites, in fractional coordinates, are U at (0.144, 0.000, 0.214), Hg at (0.216, 0.500, 0.179), Br at (0.093, 0.500, 0.806), O at (0.059, 0.000, 0.892), O at (0.164, 0.211, 0.213) and O at (0.189, 0.000, 0.513).



This record from Alexandria via LeMat-Bulk describes crystalline HgOs2Br at its relaxed geometry. The functional is PBE.

The structure belongs to space group Cm (No. 8); the cell edges are 10.655, 2.920 and 5.830 Å and the angles 90.00°, 121.02° and 90.00°. The distinct sites, in fractional coordinates, are Hg at (0.000, 0.000, 0.000), Os at (0.268, 0.500, 0.428), Os at (0.449, 0.000, 0.389) and Br at (0.174, 0.000, 0.689).

The energy above the most stable polymorph in this dataset is 70 kJ/mol of formula units.



Short version: energy = -0.1427, -0.2398, -0.4707, -0.3700 Ry per atom, in the order given.
Short version: ΔE_f (raw) = -22, -411, -1676, 1074 meV/atom, in the order given.